The following is a DFT calculation (PBE) of a relaxed Al3Zn4 crystal.

Lattice parameters (Å, degrees): 7.3401 7.3396 4.7212 90.00 90.00 60.00
Element x y z (fractional)
Al1 0.7152 0.4257 0.0000
Al2 0.2829 0.5733 0.0000
Al3 0.4305 0.8581 0.0000
Al4 0.5219 0.3800 0.5000
Al5 0.6695 0.6647 0.5000
Al6 0.2372 0.8123 0.5000
Zn1 0.9980 0.0022 0.0000
Zn2 0.5711 0.1410 0.0000
Zn3 0.1429 0.2857 0.0000
Zn4 0.8592 0.7141 0.0000
Zn5 0.3812 0.0971 0.5000
Zn6 0.9543 0.2359 0.5000
Zn7 0.0931 0.5240 0.5000
Zn8 0.8095 0.9524 0.5000

Values from the calculation:
Volume (Å³ per cell): 220.3
Energy relative to the lowest polymorph listed for this composition (meV/atom): 0